# TcMoAu2 PBE relaxed
# **Electronic total energy**: -6.6499 eV/atom
# **Excess energy over the best structure of this formula in the dataset**: 98 meV per atom
# **Symmetry**: Cm (8)
data_TcMoAu2
_space_group_name_H-M_alt 'P 1'
_space_group_IT_number 1
_cell_length_a 9.4793
_cell_length_b 2.7125
_cell_length_c 5.1408
_cell_angle_alpha 90.00
_cell_angle_beta 96.87
_cell_angle_gamma 90.00
loop_
_space_group_symop_operation_xyz
'x,y,z'
loop_
_atom_site_label
_atom_site_type_symbol
_atom_site_fract_x
_atom_site_fract_y
_atom_site_fract_z
_atom_site_occupancy
Tc1 Tc 0.0000 0.0000 0.0000 1
Tc2 Tc 0.5000 0.5000 0.0000 1
Mo1 Mo 0.2594 0.5000 0.2159 1
Mo2 Mo 0.7594 0.0000 0.2159 1
Au1 Au 0.0047 0.5000 0.4852 1
Au2 Au 0.2575 0.0000 0.7286 1
Au3 Au 0.5047 0.0000 0.4852 1
Au4 Au 0.7575 0.5000 0.7286 1

***

# Tc2MoAu PBE relaxed
# **Electronic total energy**: -8.3294 eV/atom
# **Excess energy over the best structure of this formula in the dataset**: 217 meV per atom
# **Symmetry**: Fm-3m (225)
data_Tc2MoAu
_space_group_name_H-M_alt 'P 1'
_space_group_IT_number 1
_cell_length_a 6.3133
_cell_length_b 6.3133
_cell_length_c 6.3133
_cell_angle_alpha 90.00
_cell_angle_beta 90.00
_cell_angle_gamma 90.00
loop_
_space_group_symop_operation_xyz
'x,y,z'
loop_
_atom_site_label
_atom_site_type_symbol
_atom_site_fract_x
_atom_site_fract_y
_atom_site_fract_z
_atom_site_occupancy
Tc1 Tc 0.2500 0.2500 0.2500 1
Tc2 Tc 0.2500 0.2500 0.7500 1
Tc3 Tc 0.2500 0.7500 0.2500 1
Tc4 Tc 0.2500 0.7500 0.7500 1
Tc5 Tc 0.7500 0.2500 0.2500 1
Tc6 Tc 0.7500 0.2500 0.7500 1
Tc7 Tc 0.7500 0.7500 0.2500 1
Tc8 Tc 0.7500 0.7500 0.7500 1
Mo1 Mo 0.0000 0.0000 0.0000 1
Mo2 Mo 0.0000 0.5000 0.5000 1
Mo3 Mo 0.5000 0.0000 0.5000 1
Mo4 Mo 0.5000 0.5000 0.0000 1
Au1 Au 0.0000 0.0000 0.5000 1
Au2 Au 0.0000 0.5000 0.0000 1
Au3 Au 0.5000 0.0000 0.0000 1
Au4 Au 0.5000 0.5000 0.5000 1

***

# TcMo2Au PBE relaxed
# **Electronic total energy**: -8.5275 eV/atom
# **Excess energy over the best structure of this formula in the dataset**: 153 meV per atom
# **Symmetry**: R3m (160)
data_TcMo2Au
_space_group_name_H-M_alt 'P 1'
_space_group_IT_number 1
_cell_length_a 2.8244
_cell_length_b 2.8244
_cell_length_c 28.0108
_cell_angle_alpha 90.00
_cell_angle_beta 90.00
_cell_angle_gamma 120.00
loop_
_space_group_symop_operation_xyz
'x,y,z'
loop_
_atom_site_label
_atom_site_type_symbol
_atom_site_fract_x
_atom_site_fract_y
_atom_site_fract_z
_atom_site_occupancy
Tc1 Tc 0.0000 0.0000 0.0000 1
Tc2 Tc 0.3333 0.6667 0.6667 1
Tc3 Tc 0.6667 0.3333 0.3333 1
Mo1 Mo 0.0000 0.0000 0.2582 1
Mo2 Mo 0.0000 0.0000 0.5075 1
Mo3 Mo 0.3333 0.6667 0.1741 1
Mo4 Mo 0.3333 0.6667 0.9249 1
Mo5 Mo 0.6667 0.3333 0.5916 1
Mo6 Mo 0.6667 0.3333 0.8408 1
Au1 Au 0.0000 0.0000 0.7540 1
Au2 Au 0.3333 0.6667 0.4207 1
Au3 Au 0.6667 0.3333 0.0873 1

***

# TcMoAu2 PBE relaxed
# **Electronic total energy**: -6.7475 eV/atom
# **Excess energy over the best structure of this formula in the dataset**: 0 meV per atom
# **Symmetry**: P4mm (99)
data_TcMoAu2
_space_group_name_H-M_alt 'P 1'
_space_group_IT_number 1
_cell_length_a 2.8222
_cell_length_b 2.8222
_cell_length_c 8.3527
_cell_angle_alpha 90.00
_cell_angle_beta 90.00
_cell_angle_gamma 90.00
loop_
_space_group_symop_operation_xyz
'x,y,z'
loop_
_atom_site_label
_atom_site_type_symbol
_atom_site_fract_x
_atom_site_fract_y
_atom_site_fract_z
_atom_site_occupancy
Tc1 Tc 0.0000 0.0000 0.0000 1
Mo1 Mo 0.5000 0.5000 0.7845 1
Au1 Au 0.0000 0.0000 0.5281 1
Au2 Au 0.5000 0.5000 0.2528 1

***

# TcMo2Au PBE relaxed
# **Electronic total energy**: -8.5558 eV/atom
# **Excess energy over the best structure of this formula in the dataset**: 125 meV per atom
# **Symmetry**: Cm (8)
data_TcMo2Au
_space_group_name_H-M_alt 'P 1'
_space_group_IT_number 1
_cell_length_a 9.2844
_cell_length_b 2.8996
_cell_length_c 4.8393
_cell_angle_alpha 90.00
_cell_angle_beta 101.42
_cell_angle_gamma 90.00
loop_
_space_group_symop_operation_xyz
'x,y,z'
loop_
_atom_site_label
_atom_site_type_symbol
_atom_site_fract_x
_atom_site_fract_y
_atom_site_fract_z
_atom_site_occupancy
Tc1 Tc 0.0000 0.0000 0.0000 1
Tc2 Tc 0.5000 0.5000 0.0000 1
Mo1 Mo 0.0074 0.5000 0.5177 1
Mo2 Mo 0.2592 0.0000 0.7761 1
Mo3 Mo 0.5074 0.0000 0.5177 1
Mo4 Mo 0.7592 0.5000 0.7761 1
Au1 Au 0.2535 0.5000 0.2693 1
Au2 Au 0.7535 0.0000 0.2693 1

***

# TcMo2Au PBE relaxed
# **Electronic total energy**: -8.1267 eV/atom
# **Excess energy over the best structure of this formula in the dataset**: 554 meV per atom
# **Symmetry**: I-42d (122)
data_TcMo2Au
_space_group_name_H-M_alt 'P 1'
_space_group_IT_number 1
_cell_length_a 7.1980
_cell_length_b 7.1980
_cell_length_c 5.4300
_cell_angle_alpha 90.00
_cell_angle_beta 90.00
_cell_angle_gamma 90.00
loop_
_space_group_symop_operation_xyz
'x,y,z'
loop_
_atom_site_label
_atom_site_type_symbol
_atom_site_fract_x
_atom_site_fract_y
_atom_site_fract_z
_atom_site_occupancy
Tc1 Tc 0.0000 0.0000 0.0000 1
Tc2 Tc 0.0000 0.5000 0.2500 1
Tc3 Tc 0.5000 0.0000 0.7500 1
Tc4 Tc 0.5000 0.5000 0.5000 1
Mo1 Mo 0.2133 0.2500 0.1250 1
Mo2 Mo 0.2500 0.7133 0.3750 1
Mo3 Mo 0.2500 0.7867 0.8750 1
Mo4 Mo 0.2867 0.2500 0.6250 1
Mo5 Mo 0.7133 0.7500 0.6250 1
Mo6 Mo 0.7500 0.2133 0.8750 1
Mo7 Mo 0.7500 0.2867 0.3750 1
Mo8 Mo 0.7867 0.7500 0.1250 1
Au1 Au 0.0000 0.0000 0.5000 1
Au2 Au 0.0000 0.5000 0.7500 1
Au3 Au 0.5000 0.0000 0.2500 1
Au4 Au 0.5000 0.5000 0.0000 1

***

- Number 3 is which compound?
  TcMo2Au